Computed, not measured: a relaxed structure of La3Tb3Sm at the PBE-GGA level of DFT.

POSCAR file:
```
La3Tb3Sm
1.0
5.860 0.000 0.000
0.000 9.811 0.000
0.000 -4.906 8.497
La Tb Sm
6 6 2
Direct
0.750 0.624 0.528
0.750 0.472 0.096
0.750 0.904 0.376
0.250 0.376 0.472
0.250 0.528 0.904
0.250 0.096 0.624
0.250 0.814 0.768
0.250 0.232 0.045
0.250 0.955 0.186
0.750 0.186 0.232
0.750 0.768 0.955
0.750 0.045 0.814
0.250 0.667 0.333
0.750 0.333 0.667
```

Values from the calculation:
The calculation puts the magnetization at 0.00 μB per cell. The space-group type is P6_3/m. The calculation puts the density of states at the Fermi level at 1.868 states/eV/atom. As for the calculated total energy: -4.733 eV/atom. The theoretical density is 7.10 g cm⁻³. The value obtained for the formation energy is 0.26 eV per formula unit.